1.
Entry from Alexandria: crystalline CoB3H at its relaxed geometry (PBE).

Calculated values
Energy above the most stable polymorph in this dataset (eV/atom): 0.0000
Size of the total moment (μB per cell): 0.19
Space-group type: Pm-3m (221)

Cell: 3.1049 3.1049 3.1049 Å, 90.00 90.00 90.00°
Site moments in Bohr magnetons follow the coordinates.
Fractional positions:
B 0.0000 0.0000 0.5000  0.03
B 0.5000 0.0000 0.0000  -0.01
B 0.0000 0.5000 0.0000  0.01
H 0.0000 0.0000 0.0000  0.00
Co 0.5000 0.5000 0.5000  0.15

***

2.
Entry from Alexandria: crystalline CoB2H6 at its relaxed geometry (PBE).

Calculated values
Energy above the most stable polymorph in this dataset (eV/atom): 0.1834
Size of the total moment (μB per cell): 0.05
Space-group type: C2/m (12)

Cell: 5.8993 3.8456 3.8454 Å, 46.68 65.13 65.14°
Site moments in Bohr magnetons follow the coordinates.
Fractional positions:
H 0.7068 0.1020 0.1020  0.00
H 0.2932 0.8980 0.8980  0.00
H 0.3091 0.3351 0.0563  0.00
H 0.6909 0.9437 0.6649  0.00
H 0.3091 0.0563 0.3351  0.00
H 0.6909 0.6649 0.9437  0.00
B 0.0612 0.2685 0.2685  0.00
B 0.9388 0.7315 0.7315  0.00
Co 0.0000 0.0000 0.0000  0.06

***

3.
Entry from Alexandria: crystalline CoB2H at its relaxed geometry (PBE).

Calculated values
Energy above the most stable polymorph in this dataset (eV/atom): 0.3068
Size of the total moment (μB per cell): 0.00
Space-group type: Fm-3m (225)

Cell: 3.3408 3.3408 3.3408 Å, 60.00 60.00 60.00°
Fractional positions:
H 0.0000 0.0000 0.0000
Co 0.5000 0.5000 0.5000
B 0.7500 0.7500 0.7500
B 0.2500 0.2500 0.2500

***

4.
Entry from Alexandria: crystalline CoB2H6 at its relaxed geometry (PBE).

Calculated values
Energy above the most stable polymorph in this dataset (eV/atom): 0.0000
Size of the total moment (μB per cell): 0.00
Space-group type: C2/c (15)

Cell: 6.1314 4.3850 4.3850 Å, 80.15 74.81 74.81°
Fractional positions:
H 0.4154 0.3902 0.2766
H 0.6696 0.0401 0.7691
H 0.1696 0.7691 0.0401
H 0.6766 0.5682 0.1732
H 0.8234 0.8268 0.4318
H 0.0846 0.7234 0.6098
H 0.8304 0.2309 0.9599
H 0.3304 0.9599 0.2309
H 0.9154 0.2766 0.3902
H 0.3234 0.4318 0.8268
H 0.1766 0.1732 0.5682
H 0.5846 0.6098 0.7234
B 0.8962 0.3897 0.1283
B 0.3962 0.1283 0.3897
B 0.6038 0.8717 0.6103
B 0.1038 0.6103 0.8717
Co 0.2500 0.1115 0.8885
Co 0.7500 0.8885 0.1115

***

5.
Entry from Alexandria: crystalline CoB3H at its relaxed geometry (PBE).

Calculated values
Energy above the most stable polymorph in this dataset (eV/atom): 0.1727
Size of the total moment (μB per cell): 0.97
Space-group type: Pm-3m (221)

Cell: 3.7160 3.7160 3.7160 Å, 90.00 90.00 90.00°
Site moments in Bohr magnetons follow the coordinates.
Fractional positions:
B 0.5000 0.0000 0.0000  0.05
B 0.0000 0.5000 0.0000  0.01
B 0.0000 0.0000 0.5000  0.01
Co 0.0000 0.0000 0.0000  0.18
H 0.5000 0.5000 0.5000  0.32

***

6.
Entry from Alexandria: crystalline CoB2H at its relaxed geometry (PBE).

Calculated values
Energy above the most stable polymorph in this dataset (eV/atom): 0.0000
Size of the total moment (μB per cell): 2.20
Space-group type: I4_1/amd (141)

Cell: 3.2395 3.2395 5.8935 Å, 74.05 74.05 90.00°
Site moments in Bohr magnetons follow the coordinates.
Fractional positions:
B 0.3750 0.6245 0.7500  0.01
B 0.3755 0.1250 0.2500  0.01
B 0.3745 0.6250 0.2500  0.01
B 0.8750 0.6255 0.7500  0.01
H 0.5000 0.5000 0.0000  0.02
H 0.2500 0.7500 0.5000  0.01
Co 0.0000 0.0000 0.0000  1.05
Co 0.7500 0.2500 0.5000  1.04

***

7.
Entry from Alexandria: crystalline Co2BH2 at its relaxed geometry (PBE).

Calculated values
Energy above the most stable polymorph in this dataset (eV/atom): 0.0000
Size of the total moment (μB per cell): 0.00
Space-group type: I4/mmm (139)

Cell: 2.5481 2.5481 5.0854 Å, 75.49 75.49 90.00°
Fractional positions:
Co 0.3734 0.3734 0.2532
Co 0.6266 0.6266 0.7468
B 0.0000 0.0000 0.0000
H 0.7500 0.2500 0.5000
H 0.2500 0.7500 0.5000

***

8.
Entry from Alexandria: crystalline NaCo2BHIr at its relaxed geometry (PBE).

Calculated values
Energy above the most stable polymorph in this dataset (eV/atom): 0.1239
Size of the total moment (μB per cell): 3.17
Space-group type: Cm (8)

Cell: 6.7588 2.6244 9.4793 Å, 90.00 131.51 90.00°
Site moments in Bohr magnetons follow the coordinates.
Fractional positions:
Ir 0.0298 0.0000 0.1778  0.16
Ir 0.0298 0.5000 0.6778  0.16
H 0.5956 0.0000 0.1246  -0.01
H 0.5956 0.5000 0.6246  -0.01
B 0.7684 0.5000 0.9389  -0.04
B 0.7684 0.0000 0.4389  -0.04
Na 0.2659 0.0000 0.5497  0.00
Na 0.2659 0.5000 0.0497  0.00
Co 0.5062 0.5000 0.4132  0.84
Co 0.5062 0.0000 0.9132  0.84
Co 0.7791 0.0000 0.7707  0.68
Co 0.7791 0.5000 0.2707  0.68